# YErNi2Ge (PBE, optimized geometry)
# final energy = -59.63 eV for the cell shown
data_YErNi2Ge
_chemical_formula_sum 'Y2 Er2 Ni4 Ge2'
_cell_length_a 3.599
_cell_length_b 3.941
_cell_length_c 13.215
_cell_angle_alpha 90.00
_cell_angle_beta 90.00
_cell_angle_gamma 90.00
_symmetry_space_group_name_H-M 'A m m 2'
_symmetry_Int_Tables_number 38
loop_
_symmetry_equiv_pos_as_xyz
'x,y,z'
'-x,-y,z'
'-x,y,z'
'x,-y,z'
'x,y+1/2,z+1/2'
'-x,-y+1/2,z+1/2'
'-x,y+1/2,z+1/2'
'x,-y+1/2,z+1/2'
loop_
_atom_site_label
_atom_site_fract_x
_atom_site_fract_y
_atom_site_fract_z
Y1 0.000 0.000 0.000
Er1 0.000 0.000 0.258
Ni1 0.500 0.000 0.432
Ni2 0.500 0.000 0.820
Ge1 0.500 0.000 0.629

# TbYCo2Sn (PBE, optimized geometry)
# final energy = -62.88 eV for the cell shown
data_TbYCo2Sn
_chemical_formula_sum 'Tb2 Y2 Co4 Sn2'
_cell_length_a 3.852
_cell_length_b 3.827
_cell_length_c 13.822
_cell_angle_alpha 90.00
_cell_angle_beta 90.00
_cell_angle_gamma 90.00
_symmetry_space_group_name_H-M 'A m m 2'
_symmetry_Int_Tables_number 38
loop_
_symmetry_equiv_pos_as_xyz
'x,y,z'
'-x,-y,z'
'-x,y,z'
'x,-y,z'
'x,y+1/2,z+1/2'
'-x,-y+1/2,z+1/2'
'-x,y+1/2,z+1/2'
'x,-y+1/2,z+1/2'
loop_
_atom_site_label
_atom_site_fract_x
_atom_site_fract_y
_atom_site_fract_z
Tb1 0.000 0.000 0.000
Y1 0.000 0.000 0.274
Co1 0.500 0.000 0.435
Co2 0.500 0.000 0.842
Sn1 0.500 0.000 0.638

# ScZn (PBE, optimized geometry)
# formation energy = -0.254 eV/atom
data_ScZn
_chemical_formula_sum 'Sc6 Zn6'
_cell_length_a 4.575
_cell_length_b 8.547
_cell_length_c 5.876
_cell_angle_alpha 90.00
_cell_angle_beta 90.00
_cell_angle_gamma 90.00
_symmetry_space_group_name_H-M 'P m c 21'
_symmetry_Int_Tables_number 26
loop_
_symmetry_equiv_pos_as_xyz
'x,y,z'
'-x,-y,z+1/2'
'-x,y,z'
'x,-y,z+1/2'
loop_
_atom_site_label
_atom_site_fract_x
_atom_site_fract_y
_atom_site_fract_z
Sc1 0.000 0.024 0.000
Sc2 0.000 0.341 0.666
Sc3 0.500 0.201 0.284
Zn1 0.000 0.343 0.162
Zn2 0.500 0.141 0.757
Zn3 0.500 0.469 0.946